Er2CoO | PBE with a Hubbard U | relaxed

The structure in POSCAR format:
```
Er2CoO
1.0
-0.2757 0.7319 3.2089
1.8041 -1.6392 2.2286
6.5014 5.2654 1.0573
Co O Er
1 1 2
Cartesian
0.0000 0.0000 0.0000 Co
4.0149 2.1790 3.2474 O
4.5356 3.4387 1.3051 Er
3.4943 0.9194 5.1898 Er
```

Properties
symmetry = R-3m (166)
DOS(E_F) = 2.50 states/eV/f.u.
DFT total energy = -5.59 eV/atom
theoretical density = 8.76 g cm⁻³